This record from Alexandria via LeMat-Bulk describes Ta14TiOs after structural relaxation. The functional is PBE-GGA.

Values from the calculation:
The calculation puts the density of states at the Fermi level at 21.015 states/eV per cell. As for the magnetic moment: 0.0 μB per cell. The value obtained for the calculated total energy is -186.17 eV per cell.

```
data_Ta14TiOs
_cell_length_a 5.7076
_cell_length_b 5.7076
_cell_length_c 9.2841
_cell_angle_alpha 90.00
_cell_angle_beta 90.00
_cell_angle_gamma 108.97
_symmetry_space_group_name_H-M 'P 1'
_symmetry_Int_Tables_number 1
loop_
_symmetry_equiv_pos_as_xyz
'x,y,z'
loop_
_atom_site_label
_atom_site_fract_x
_atom_site_fract_y
_atom_site_fract_z
_atom_site_occupancy
Ta1 0.8797 0.1203 0.7485 1
Ta2 0.3806 0.1306 0.7428 1
Ta3 0.1250 0.8750 0.0000 1
Ta4 0.3703 0.6297 0.7486 1
Ta5 0.3806 0.1306 0.2572 1
Ta6 0.1250 0.3751 0.5000 1
Ta7 0.8694 0.6194 0.2572 1
Ta8 0.8694 0.6194 0.7428 1
Ta9 0.6249 0.8750 0.5000 1
Ta10 0.6250 0.8750 0.0000 1
Ta11 0.3703 0.6297 0.2514 1
Ta12 0.8797 0.1203 0.2515 1
Ta13 0.6250 0.3750 0.0000 1
Ta14 0.1250 0.3750 0.0000 1
Os1 0.6250 0.3750 0.5000 1
Ti1 0.1249 0.8751 0.5000 1
```

=====

This record from Alexandria via LeMat-Bulk describes TaTi5Os4 after structural relaxation. The functional is PBE-GGA.

Values from the calculation:
The calculation puts the density of states at the Fermi level at 5.799 states/eV per cell. As for the magnetic moment: 0.0 μB per cell. The value obtained for the calculated total energy is -101.92 eV per cell.

```
data_TaTi5Os4
_cell_length_a 3.0919
_cell_length_b 3.0919
_cell_length_c 16.0012
_cell_angle_alpha 90.00
_cell_angle_beta 90.00
_cell_angle_gamma 90.00
_symmetry_space_group_name_H-M 'P 1'
_symmetry_Int_Tables_number 1
loop_
_symmetry_equiv_pos_as_xyz
'x,y,z'
loop_
_atom_site_label
_atom_site_fract_x
_atom_site_fract_y
_atom_site_fract_z
_atom_site_occupancy
Ti1 0.5000 0.5000 0.5000 1
Ti2 0.5000 0.5000 0.3063 1
Ti3 0.5000 0.5000 0.8863 1
Ti4 0.5000 0.5000 0.1137 1
Ti5 0.5000 0.5000 0.6937 1
Os1 0.0000 0.0000 0.2092 1
Os2 0.0000 0.0000 0.4032 1
Os3 0.0000 0.0000 0.5968 1
Os4 0.0000 0.0000 0.7908 1
Ta1 0.0000 0.0000 0.0000 1
```

=====

This record from Alexandria via LeMat-Bulk describes Ta4TiOs after structural relaxation. The functional is PBE-GGA.

Values from the calculation:
The calculation puts the density of states at the Fermi level at 6.242 states/eV per cell. As for the magnetic moment: 0.0 μB per cell. The value obtained for the calculated total energy is -67.67 eV per cell.

```
data_Ta4TiOs
_cell_length_a 4.6002
_cell_length_b 5.4017
_cell_length_c 5.4038
_cell_angle_alpha 62.00
_cell_angle_beta 64.81
_cell_angle_gamma 64.80
_symmetry_space_group_name_H-M 'P 1'
_symmetry_Int_Tables_number 1
loop_
_symmetry_equiv_pos_as_xyz
'x,y,z'
loop_
_atom_site_label
_atom_site_fract_x
_atom_site_fract_y
_atom_site_fract_z
_atom_site_occupancy
Ta1 0.3403 0.9978 0.3215 1
Ta2 0.6597 0.0022 0.6785 1
Ta3 0.3251 0.5168 0.8330 1
Ta4 0.6749 0.4832 0.1670 1
Ti1 0.0000 0.5000 0.5000 1
Os1 0.0000 0.0000 0.0000 1
```

=====

This record from Alexandria via LeMat-Bulk describes Ta6TiOs5 after structural relaxation. The functional is PBE-GGA.

Values from the calculation:
The calculation puts the density of states at the Fermi level at 8.374 states/eV per cell. As for the magnetic moment: 0.0 μB per cell. The value obtained for the calculated total energy is -138.77 eV per cell.

```
data_Ta6TiOs5
_cell_length_a 4.4942
_cell_length_b 6.4157
_cell_length_c 7.1123
_cell_angle_alpha 90.00
_cell_angle_beta 108.40
_cell_angle_gamma 90.00
_symmetry_space_group_name_H-M 'P 1'
_symmetry_Int_Tables_number 1
loop_
_symmetry_equiv_pos_as_xyz
'x,y,z'
loop_
_atom_site_label
_atom_site_fract_x
_atom_site_fract_y
_atom_site_fract_z
_atom_site_occupancy
Os1 0.0000 0.5000 0.0000 1
Os2 0.3326 0.0000 0.6651 1
Os3 0.3321 0.5000 0.6642 1
Os4 0.6674 0.0000 0.3349 1
Os5 0.6679 0.5000 0.3358 1
Ta1 0.5000 0.7523 0.0000 1
Ta2 0.5000 0.2477 0.0000 1
Ta3 0.1650 0.2467 0.3302 1
Ta4 0.1650 0.7533 0.3302 1
Ta5 0.8350 0.7533 0.6698 1
Ta6 0.8350 0.2467 0.6698 1
Ti1 0.0000 0.0000 0.0000 1
```

=====

This record from Alexandria via LeMat-Bulk describes TaTi2Os2 after structural relaxation. The functional is PBE-GGA.

Values from the calculation:
The calculation puts the density of states at the Fermi level at 14.789 states/eV per cell. As for the magnetic moment: 0.0 μB per cell. The value obtained for the calculated total energy is -101.66 eV per cell.

```
data_TaTi2Os2
_cell_length_a 7.3002
_cell_length_b 7.3002
_cell_length_c 3.0592
_cell_angle_alpha 90.00
_cell_angle_beta 90.00
_cell_angle_gamma 90.00
_symmetry_space_group_name_H-M 'P 1'
_symmetry_Int_Tables_number 1
loop_
_symmetry_equiv_pos_as_xyz
'x,y,z'
loop_
_atom_site_label
_atom_site_fract_x
_atom_site_fract_y
_atom_site_fract_z
_atom_site_occupancy
Ta1 0.5000 0.5000 0.0000 1
Ta2 0.0000 0.0000 0.0000 1
Ti1 0.8451 0.3451 0.5000 1
Ti2 0.3451 0.1549 0.5000 1
Ti3 0.6549 0.8451 0.5000 1
Ti4 0.1549 0.6549 0.5000 1
Os1 0.6440 0.1440 0.0000 1
Os2 0.1440 0.3560 0.0000 1
Os3 0.3560 0.8560 0.0000 1
Os4 0.8560 0.6440 0.0000 1
```

=====

This record from Alexandria via LeMat-Bulk describes TaTiOs2 after structural relaxation. The functional is PBE-GGA.

Values from the calculation:
The calculation puts the density of states at the Fermi level at 2.471 states/eV per cell. As for the magnetic moment: 0.0 μB per cell. The energy relative to the lowest polymorph listed for this composition is 1 kJ/mol of formula units. The value obtained for the calculated total energy is -44.17 eV per cell.

```
data_TaTiOs2
_cell_length_a 3.1067
_cell_length_b 3.1067
_cell_length_c 6.4079
_cell_angle_alpha 90.00
_cell_angle_beta 90.00
_cell_angle_gamma 90.00
_symmetry_space_group_name_H-M 'P 1'
_symmetry_Int_Tables_number 1
loop_
_symmetry_equiv_pos_as_xyz
'x,y,z'
loop_
_atom_site_label
_atom_site_fract_x
_atom_site_fract_y
_atom_site_fract_z
_atom_site_occupancy
Os1 0.0000 0.0000 0.2392 1
Os2 0.0000 0.0000 0.7608 1
Ta1 0.5000 0.5000 0.5000 1
Ti1 0.5000 0.5000 0.0000 1
```